Computed, not measured: Ta2Cu3 after structural relaxation at the PBE-GGA level of DFT.

```
5
Lattice="1.3933 0.8044 11.1685 -1.3933 0.8044 11.1685 0.0000 -1.6088 11.1685" Properties=species:S:1:pos:R:3 pbc="T T T"
Ta 0.0000 0.0000 3.2721
Ta 0.0000 0.0000 30.2334
Cu 0.0000 0.0000 10.1684
Cu 0.0000 0.0000 16.7528
Cu 0.0000 0.0000 23.3371
```

Values from the calculation:
Formation energy from the elements, eV per atom: 0.23
Final energy, eV/atom: -6.9724
Energy above the lowest structure with this stoichiometry, meV per atom: 35